Entry 1:
The following is a DFT calculation (GGA-PBEsol) of a geometry-optimized HfTe2RhI structure.

Properties
Raw formation energy: 0.438 eV per atom
Space-group type: No. 123

Unit cell a=5.102 b=5.111 c=5.111 alpha=90.00 beta=90.00 gamma=90.00
Atoms (fractional coordinates):
Rh (0.000, 0.000, 0.000)
Te (0.000, 0.500, 0.000)
Hf (0.500, 0.500, 0.500)
Te (0.000, 0.000, 0.500)
I (0.500, 0.000, 0.000)


Entry 2:
The following is a DFT calculation (GGA-PBEsol) of a geometry-optimized HfRu3I structure.

Properties
Raw formation energy: 1.546 eV per atom
Space-group type: No. 221

Unit cell a=4.669 b=4.669 c=4.669 alpha=90.00 beta=90.00 gamma=90.00
Atoms (fractional coordinates):
Ru (0.500, 0.000, 0.000)
Hf (0.500, 0.500, 0.500)
I (0.000, 0.000, 0.000)
Ru (0.000, 0.500, 0.000)
Ru (0.000, 0.000, 0.500)